i | A plane-wave DFT calculation with PBE-GGA was carried out for a relaxed SiTcGe crystal.

Output
Space-group type ... P-6m2
Theoretical density ... 7073 kg/m3
DOS(E_F) ... 0.7545 states/eV/atom

```
SiTcGe
1.0
-2.539 0.350 -1.821
0.095 -4.037 -0.909
-2.160 1.335 3.269
Ge Tc Si
1 1 1
direct
0.667 0.667 0.333
0.167 0.000 0.000
0.167 0.333 0.667
```



ii | A plane-wave DFT calculation with PBE-GGA was carried out for a relaxed SiTcGe crystal.

Output
Space-group type ... Pmmn
Theoretical density ... 7396 kg/m3
DOS(E_F) ... 0.5472 states/eV/atom

```
SiTcGe
1.0
-1.270 -3.036 -1.794
1.205 -1.884 2.336
-6.360 0.488 3.676
Tc Ge Si
2 2 2
direct
0.750 0.750 0.238
0.250 0.250 0.762
0.250 0.250 0.385
0.750 0.750 0.615
0.750 0.250 0.981
0.250 0.750 0.019
```



Most stable: ii



i | A plane-wave DFT calculation with PBE-GGA was carried out for a relaxed SiTcGe3 crystal.

Output
Space-group type ... Pm-3m
Theoretical density ... 5431 kg/m3
DOS(E_F) ... 0.9486 states/eV/atom

```
SiTcGe3
1.0
-2.785 -1.156 -3.632
-2.534 -2.798 2.834
-2.847 3.622 1.030
Tc Ge Si
1 3 1
direct
0.500 0.500 0.500
0.000 0.500 0.000
0.000 0.000 0.500
0.500 0.000 0.000
0.000 0.000 0.000
```



ii | A plane-wave DFT calculation with PBE-GGA was carried out for a relaxed SiTcGe3 crystal.

Output
Space-group type ... Pm-3m
Theoretical density ... 5110 kg/m3
DOS(E_F) ... 0.8544 states/eV/atom

```
SiTcGe3
1.0
-1.938 -0.325 -4.398
-0.990 -4.649 0.780
-4.298 1.218 1.804
Tc Ge Si
1 3 1
direct
0.000 0.000 0.000
0.000 0.500 0.000
0.000 0.000 0.500
0.500 0.000 0.000
0.500 0.500 0.500
```



Most stable: ii



i | A plane-wave DFT calculation with PBE-GGA was carried out for a relaxed Si2GeTe crystal.

Output
Space-group type ... Fm-3m
Theoretical density ... 5404 kg/m3
DOS(E_F) ... 0.4814 states/eV/atom

```
Si2GeTe
1.0
0.000 3.403 3.403
3.403 0.000 3.403
3.403 3.403 0.000
Ge Si Te
1 2 1
direct
0.000 0.000 0.000
0.750 0.750 0.750
0.250 0.250 0.250
0.500 0.500 0.500
```



ii | A plane-wave DFT calculation with PBE-GGA was carried out for a relaxed Si2GeTe crystal.

Output
Space-group type ... I-42d
Theoretical density ... 4301 kg/m3
DOS(E_F) ... 0.5677 states/eV/atom

```
Si2GeTe
1.0
-4.460 -0.623 -4.693
4.719 -1.101 -4.338
-0.143 -5.454 -3.647
Ge Si Te
2 4 2
direct
0.500 0.500 0.000
0.250 0.750 0.500
0.165 0.625 0.250
0.375 0.415 0.750
0.875 0.835 0.750
0.585 0.125 0.250
0.750 0.250 0.500
0.000 0.000 0.000
```



Most stable: ii



i | A plane-wave DFT calculation with PBE-GGA was carried out for a relaxed SiGe3Te crystal.

Output
Space-group type ... Pm-3m
Theoretical density ... 5276 kg/m3
DOS(E_F) ... 0.6055 states/eV/atom

```
SiGe3Te
1.0
4.899 0.000 0.000
0.000 4.899 0.000
0.000 0.000 4.899
Si Ge Te
1 3 1
direct
0.000 0.000 0.000
0.500 0.000 0.000
0.000 0.500 0.000
0.000 0.000 0.500
0.500 0.500 0.500
```



ii | A plane-wave DFT calculation with PBE-GGA was carried out for a relaxed SiGe3Te crystal.

Output
Space-group type ... Pm-3m
Theoretical density ... 3990 kg/m3
DOS(E_F) ... 0.4817 states/eV/atom

```
SiGe3Te
1.0
5.377 0.000 0.000
0.000 5.377 0.000
0.000 0.000 5.377
Ge Te Si
3 1 1
direct
0.000 0.500 0.000
0.000 0.000 0.500
0.500 0.000 0.000
0.000 0.000 0.000
0.500 0.500 0.500
```



Most stable: i